1.
Computed, not measured: a relaxed structure of ZnCd2Mo at the GGA-PBE level of DFT.

Results
- ΔH_f (0 K): 0.3093 eV per atom
- Total moment: 0.0 μB/f.u.
- ρ: 8.88 Mg/m³

Cell lengths 2.8391, 2.8391, 8.9603 Å; angles 90.00, 90.00, 90.00 degrees
Space group P4/mmm (No. 123)
Symmetry-distinct sites (fractional):
Zn 0.0000 0.0000 0.0000 (multiplicity 1)
Cd 0.5000 0.5000 0.2497 (multiplicity 2)
Mo 0.0000 0.0000 0.5000 (multiplicity 1)

***

2.
Computed, not measured: a relaxed structure of ZnCd2Mo at the GGA-PBE level of DFT.

Results
- ΔH_f (0 K): 0.2977 eV per atom
- Total moment: 0.0 μB/f.u.
- ρ: 8.91 Mg/m³

Cell lengths 2.8600, 4.3826, 5.9105 Å; angles 90.00, 103.66, 90.00 degrees
Space group Pm (No. 6)
Symmetry-distinct sites (fractional):
Zn 0.0000 0.0000 0.0000 (multiplicity 1)
Cd 0.1478 0.5000 0.2908 (multiplicity 1)
Cd 0.7769 0.0000 0.5439 (multiplicity 1)
Mo 0.4164 0.5000 0.8238 (multiplicity 1)

***

3.
Computed, not measured: a relaxed structure of Zn2CdMo at the GGA-PBE level of DFT.

Results
- ΔH_f (0 K): 0.2704 eV per atom
- Total moment: 0.0 μB/f.u.
- ρ: 8.42 Mg/m³

Cell lengths 2.8735, 2.8735, 28.0461 Å; angles 90.00, 90.00, 120.00 degrees
Space group R3m (No. 160, hexagonal axes)
Symmetry-distinct sites (fractional):
Zn 0.0000 0.0000 0.0000 (multiplicity 3)
Zn 0.0000 0.0000 0.2562 (multiplicity 3)
Cd 0.0000 0.0000 0.7562 (multiplicity 3)
Mo 0.0000 0.0000 0.5115 (multiplicity 3)

***

4.
Computed, not measured: a relaxed structure of Zn2CdMo at the GGA-PBE level of DFT.

Results
- ΔH_f (0 K): 0.2139 eV per atom
- Total moment: 0.0 μB/f.u.
- ρ: 8.65 Mg/m³

Cell lengths 2.8249, 4.3440, 5.4853 Å; angles 90.00, 104.80, 90.00 degrees
Space group Pm (No. 6)
Symmetry-distinct sites (fractional):
Zn 0.0000 0.0000 0.0000 (multiplicity 1)
Zn 0.1364 0.5000 0.2748 (multiplicity 1)
Cd 0.7523 0.0000 0.5037 (multiplicity 1)
Mo 0.4043 0.5000 0.8070 (multiplicity 1)